# ErZn4Cu2

ErZn4Cu2 after structural relaxation (PBE-GGA, Alexandria).

Polymorph energy (0 for the lowest one) ... 455 meV per atom
ΔH_f (0 K) ... 225 meV/atom
Calculated total energy ... -2.325 eV per atom

```
data_ErZn4Cu2
_chemical_formula_sum 'Er1 Zn4 Cu2'
_space_group_name_H-M_alt 'P 1'
_space_group_IT_number 1
_space_group_name_Hall 'P 1'
_cell_length_a 5.890
_cell_length_b 5.890
_cell_length_c 5.890
_cell_angle_alpha 100.97
_cell_angle_beta 100.97
_cell_angle_gamma 128.28
loop_
_atom_site_label
_atom_site_type_symbol
_atom_site_fract_x
_atom_site_fract_y
_atom_site_fract_z
Cu1 Cu 0.250 0.750 0.500
Cu2 Cu 0.750 0.250 0.500
Zn1 Zn 0.500 0.264 0.764
Zn2 Zn 0.736 0.500 0.236
Zn3 Zn 0.264 0.500 0.764
Zn4 Zn 0.500 0.736 0.236
Er1 Er 0.000 0.000 0.000
```

=====

# ErZn2Cu2

ErZn2Cu2 after structural relaxation (PBE-GGA, Alexandria).

Polymorph energy (0 for the lowest one) ... 10 meV per atom
ΔH_f (0 K) ... -235 meV/atom
Calculated total energy ... -3.296 eV per atom

```
data_ErZn2Cu2
_chemical_formula_sum 'Er2 Zn4 Cu4'
_space_group_name_H-M_alt 'P 1'
_space_group_IT_number 1
_space_group_name_Hall 'P 1'
_cell_length_a 3.666
_cell_length_b 4.047
_cell_length_c 11.324
_cell_angle_alpha 90.01
_cell_angle_beta 90.00
_cell_angle_gamma 90.00
loop_
_atom_site_label
_atom_site_type_symbol
_atom_site_fract_x
_atom_site_fract_y
_atom_site_fract_z
Er1 Er 0.750 0.250 0.749
Er2 Er 0.250 0.750 0.251
Zn1 Zn 0.250 0.250 0.510
Zn2 Zn 0.250 0.750 0.863
Zn3 Zn 0.750 0.250 0.137
Zn4 Zn 0.750 0.750 0.490
Cu1 Cu 0.250 0.750 0.646
Cu2 Cu 0.750 0.750 0.012
Cu3 Cu 0.750 0.250 0.354
Cu4 Cu 0.250 0.250 0.988
```

=====

# ErZn2Cu2

ErZn2Cu2 after structural relaxation (PBE-GGA, Alexandria).

Polymorph energy (0 for the lowest one) ... 0 meV per atom
ΔH_f (0 K) ... -246 meV/atom
Calculated total energy ... -3.306 eV per atom

```
data_ErZn2Cu2
_chemical_formula_sum 'Er1 Zn2 Cu2'
_space_group_name_H-M_alt 'P 1'
_space_group_IT_number 1
_space_group_name_Hall 'P 1'
_cell_length_a 3.893
_cell_length_b 3.893
_cell_length_c 6.212
_cell_angle_alpha 108.26
_cell_angle_beta 108.26
_cell_angle_gamma 90.00
loop_
_atom_site_label
_atom_site_type_symbol
_atom_site_fract_x
_atom_site_fract_y
_atom_site_fract_z
Cu1 Cu 0.607 0.607 0.214
Cu2 Cu 0.393 0.393 0.786
Zn1 Zn 0.250 0.750 0.500
Zn2 Zn 0.750 0.250 0.500
Er1 Er 0.000 0.000 0.000
```

=====

# ErZn2Cu

ErZn2Cu after structural relaxation (PBE-GGA, Alexandria).

ΔH_f (0 K) ... -222 meV/atom
Calculated total energy ... -3.024 eV per atom

```
data_ErZn2Cu
_chemical_formula_sum 'Er1 Zn2 Cu1'
_space_group_name_H-M_alt 'P 1'
_space_group_IT_number 1
_space_group_name_Hall 'P 1'
_cell_length_a 4.586
_cell_length_b 4.586
_cell_length_c 4.586
_cell_angle_alpha 60.00
_cell_angle_beta 60.00
_cell_angle_gamma 60.00
loop_
_atom_site_label
_atom_site_type_symbol
_atom_site_fract_x
_atom_site_fract_y
_atom_site_fract_z
Zn1 Zn 0.750 0.750 0.750
Zn2 Zn 0.250 0.250 0.250
Cu1 Cu 0.000 0.000 0.000
Er1 Er 0.500 0.500 0.500
```

=====

# Er4Zn3Cu

Er4Zn3Cu after structural relaxation (PBE-GGA, Alexandria).

Polymorph energy (0 for the lowest one) ... 49 meV per atom
ΔH_f (0 K) ... -281 meV/atom
Calculated total energy ... -3.552 eV per atom

```
data_Er4Zn3Cu
_chemical_formula_sum 'Er4 Zn3 Cu1'
_space_group_name_H-M_alt 'P 1'
_space_group_IT_number 1
_space_group_name_Hall 'P 1'
_cell_length_a 3.648
_cell_length_b 4.459
_cell_length_c 10.984
_cell_angle_alpha 90.00
_cell_angle_beta 90.00
_cell_angle_gamma 90.00
loop_
_atom_site_label
_atom_site_type_symbol
_atom_site_fract_x
_atom_site_fract_y
_atom_site_fract_z
Zn1 Zn 0.500 0.000 0.930
Zn2 Zn 0.000 0.000 0.428
Zn3 Zn 0.000 0.500 0.571
Er1 Er 0.000 0.000 0.146
Er2 Er 0.500 0.500 0.343
Er3 Er 0.000 0.500 0.857
Er4 Er 0.500 0.000 0.654
Cu1 Cu 0.500 0.500 0.071
```

=====

# ErZn5Cu7

ErZn5Cu7 after structural relaxation (PBE-GGA, Alexandria).

ΔH_f (0 K) ... -129 meV/atom
Calculated total energy ... -3.175 eV per atom

```
data_ErZn5Cu7
_chemical_formula_sum 'Er1 Zn5 Cu7'
_space_group_name_H-M_alt 'P 1'
_space_group_IT_number 1
_space_group_name_Hall 'P 1'
_cell_length_a 4.956
_cell_length_b 6.558
_cell_length_c 6.558
_cell_angle_alpha 82.40
_cell_angle_beta 68.54
_cell_angle_gamma 68.54
loop_
_atom_site_label
_atom_site_type_symbol
_atom_site_fract_x
_atom_site_fract_y
_atom_site_fract_z
Zn1 Zn 0.501 0.495 0.002
Zn2 Zn 0.715 0.782 0.782
Zn3 Zn 0.002 0.496 0.002
Zn4 Zn 0.501 0.002 0.495
Zn5 Zn 0.002 0.002 0.496
Cu1 Cu 0.651 0.357 0.357
Cu2 Cu 0.501 0.780 0.218
Cu3 Cu 0.343 0.648 0.648
Cu4 Cu 0.285 0.217 0.217
Cu5 Cu 0.501 0.218 0.780
Cu6 Cu 0.003 0.644 0.352
Cu7 Cu 0.003 0.352 0.644
Er1 Er 0.995 0.006 0.006
```

=====

# ErZn12Cu7

ErZn12Cu7 after structural relaxation (PBE-GGA, Alexandria).

ΔH_f (0 K) ... 198 meV/atom
Calculated total energy ... -2.228 eV per atom

```
data_ErZn12Cu7
_chemical_formula_sum 'Er1 Zn12 Cu7'
_space_group_name_H-M_alt 'P 1'
_space_group_IT_number 1
_space_group_name_Hall 'P 1'
_cell_length_a 7.705
_cell_length_b 7.705
_cell_length_c 7.705
_cell_angle_alpha 109.47
_cell_angle_beta 109.47
_cell_angle_gamma 109.47
loop_
_atom_site_label
_atom_site_type_symbol
_atom_site_fract_x
_atom_site_fract_y
_atom_site_fract_z
Zn1 Zn 0.347 0.758 0.105
Zn2 Zn 0.895 0.653 0.242
Zn3 Zn 0.242 0.895 0.653
Zn4 Zn 0.653 0.758 0.410
Zn5 Zn 0.590 0.347 0.242
Zn6 Zn 0.758 0.105 0.347
Zn7 Zn 0.347 0.242 0.590
Zn8 Zn 0.653 0.242 0.895
Zn9 Zn 0.758 0.410 0.653
Zn10 Zn 0.105 0.347 0.758
Zn11 Zn 0.242 0.590 0.347
Zn12 Zn 0.410 0.653 0.758
Cu1 Cu 0.000 0.000 0.500
Cu2 Cu 0.000 0.500 0.000
Cu3 Cu 0.500 0.000 0.000
Cu4 Cu 0.000 0.500 0.500
Cu5 Cu 0.500 0.000 0.500
Cu6 Cu 0.500 0.500 0.500
Cu7 Cu 0.500 0.500 0.000
Er1 Er 0.000 0.000 0.000
```

=====

# Er3Zn2Cu7

Er3Zn2Cu7 after structural relaxation (PBE-GGA, Alexandria).

ΔH_f (0 K) ... -253 meV/atom
Calculated total energy ... -3.995 eV per atom

```
data_Er3Zn2Cu7
_chemical_formula_sum 'Er3 Zn2 Cu7'
_space_group_name_H-M_alt 'P 1'
_space_group_IT_number 1
_space_group_name_Hall 'P 1'
_cell_length_a 5.202
_cell_length_b 5.202
_cell_length_c 8.789
_cell_angle_alpha 72.79
_cell_angle_beta 72.79
_cell_angle_gamma 60.00
loop_
_atom_site_label
_atom_site_type_symbol
_atom_site_fract_x
_atom_site_fract_y
_atom_site_fract_z
Cu1 Cu 0.416 0.416 0.250
Cu2 Cu 0.416 0.917 0.250
Cu3 Cu 0.083 0.584 0.750
Cu4 Cu 0.584 0.083 0.750
Cu5 Cu 0.500 0.500 0.500
Cu6 Cu 0.584 0.584 0.750
Cu7 Cu 0.917 0.416 0.250
Zn1 Zn 0.667 0.667 0.998
Zn2 Zn 0.333 0.333 0.002
Er1 Er 0.000 0.000 0.000
Er2 Er 0.858 0.858 0.425
Er3 Er 0.142 0.142 0.575
```

=====

# Er3Zn2Cu

Er3Zn2Cu after structural relaxation (PBE-GGA, Alexandria).

Polymorph energy (0 for the lowest one) ... 0 meV per atom
ΔH_f (0 K) ... -325 meV/atom
Calculated total energy ... -3.714 eV per atom

```
data_Er3Zn2Cu
_chemical_formula_sum 'Er3 Zn2 Cu1'
_space_group_name_H-M_alt 'P 1'
_space_group_IT_number 1
_space_group_name_Hall 'P 1'
_cell_length_a 3.500
_cell_length_b 3.500
_cell_length_c 10.512
_cell_angle_alpha 90.00
_cell_angle_beta 90.00
_cell_angle_gamma 90.00
loop_
_atom_site_label
_atom_site_type_symbol
_atom_site_fract_x
_atom_site_fract_y
_atom_site_fract_z
Er1 Er 0.000 0.000 0.000
Er2 Er 0.000 0.000 0.339
Er3 Er 0.000 0.000 0.661
Zn1 Zn 0.500 0.500 0.167
Zn2 Zn 0.500 0.500 0.833
Cu1 Cu 0.500 0.500 0.500
```

=====

# Er2Zn5Cu

Er2Zn5Cu after structural relaxation (PBE-GGA, Alexandria).

ΔH_f (0 K) ... -292 meV/atom
Calculated total energy ... -2.741 eV per atom

```
data_Er2Zn5Cu
_chemical_formula_sum 'Er4 Zn10 Cu2'
_space_group_name_H-M_alt 'P 1'
_space_group_IT_number 1
_space_group_name_Hall 'P 1'
_cell_length_a 4.214
_cell_length_b 8.195
_cell_length_c 8.824
_cell_angle_alpha 90.00
_cell_angle_beta 90.00
_cell_angle_gamma 104.90
loop_
_atom_site_label
_atom_site_type_symbol
_atom_site_fract_x
_atom_site_fract_y
_atom_site_fract_z
Zn1 Zn 0.602 0.204 0.750
Zn2 Zn 0.809 0.618 0.395
Zn3 Zn 0.355 0.711 0.526
Zn4 Zn 0.355 0.711 0.974
Zn5 Zn 0.809 0.618 0.105
Zn6 Zn 0.398 0.796 0.250
Zn7 Zn 0.645 0.289 0.026
Zn8 Zn 0.191 0.382 0.605
Zn9 Zn 0.645 0.289 0.474
Zn10 Zn 0.191 0.382 0.895
Cu1 Cu 0.448 0.897 0.750
Cu2 Cu 0.552 0.103 0.250
Er1 Er 0.192 0.383 0.250
Er2 Er 0.000 0.000 0.500
Er3 Er 0.808 0.617 0.750
Er4 Er 0.000 0.000 0.000
```